# 1
Below is crystalline LaAsSeBr2 at its relaxed geometry, with properties calculated at the PBE-GGA level.

Cell lengths 5.239, 5.239, 5.339 Å; angles 90.00, 90.00, 90.00 degrees
Space group P4/mmm (No. 123)
Symmetry-distinct sites (fractional):
La (0.000, 0.000, 0.000)
As (0.500, 0.500, 0.500)
Se (0.500, 0.500, 0.000)
Br (0.000, 0.500, 0.500)

Properties
- E_form (uncorrected): -467 meV/atom
- ΔE to the lowest computed polymorph: 0.144 eV per atom

***

# 2
Below is crystalline TiTlBiPb2 at its relaxed geometry, with properties calculated at the PBE-GGA level.

Cell lengths 5.499, 5.499, 5.423 Å; angles 90.00, 90.00, 90.00 degrees
Space group P4/mmm (No. 123)
Symmetry-distinct sites (fractional):
Ti (0.000, 0.000, 0.000)
Tl (0.500, 0.500, 0.500)
Bi (0.000, 0.000, 0.500)
Pb (0.000, 0.500, 0.000)

Properties
- Energy of formation from the pure elements: 0.1286 eV/atom

***

Number 1: DOS(E_F) 7.3 states/eV/f.u., VASP energy -18.741 eV for the cell shown. Number 2: DOS(E_F) 2.8 states/eV/f.u., VASP energy -20.916 eV for the cell shown.